Material: AsRuN2
Method: DFT, PBE
State: relaxed

Summary:
Crystal system: tetragonal
Space-group type: I-42d, No. 122
E_form (uncorrected), eV per atom: 0.761

abc: 4.8555 4.8555 9.0849
angles: 90.00 90.00 90.00
Closest atoms and distances in Å follow each position.
Fractional coordinates of all 16 atoms:
As: 0.0000 0.0000 0.0000  4 N 2.14
As: 0.0000 0.5000 0.2500  4 N 2.14
As: 0.5000 0.0000 0.7500  4 N 2.14
As: 0.5000 0.5000 0.5000  4 N 2.14
Ru: 0.0000 0.0000 0.5000  4 N 1.98
Ru: 0.0000 0.5000 0.7500  4 N 1.98
Ru: 0.5000 0.0000 0.2500  4 N 1.98
Ru: 0.5000 0.5000 0.0000  4 N 1.98
N: 0.2224 0.2500 0.6250  2 Ru 1.98, 2 As 2.14
N: 0.2500 0.7224 0.8750  2 Ru 1.98, 2 As 2.14
N: 0.2500 0.7776 0.3750  2 Ru 1.98, 2 As 2.14
N: 0.2776 0.2500 0.1250  2 Ru 1.98, 2 As 2.14
N: 0.7224 0.7500 0.1250  2 Ru 1.98, 2 As 2.14
N: 0.7500 0.2224 0.3750  2 Ru 1.98, 2 As 2.14
N: 0.7500 0.2776 0.8750  2 Ru 1.98, 2 As 2.14
N: 0.7776 0.7500 0.6250  2 Ru 1.98, 2 As 2.14